1.
A plane-wave DFT calculation with GGA-PBE was carried out for an optimized crystal structure of La3NdPt4.

## Properties
- formation energy (eV/atom) = -1.140
- D(E_F) (states/eV per atom) = 0.656

Cell lengths 5.995, 5.995, 5.995 Å; angles 90.00, 90.00, 90.00 degrees
Space group Pm-3m (No. 221)
One atom of each set of equivalent atoms:
La (0.000, 0.000, 0.500) (multiplicity 3)
Nd (0.500, 0.500, 0.500) (multiplicity 1)
Pt (0.000, 0.000, 0.000) (multiplicity 1)
Pt (0.000, 0.500, 0.500) (multiplicity 3)



2.
A plane-wave DFT calculation with GGA-PBE was carried out for an optimized crystal structure of RbTbAg2Cl6.

## Properties
- D(E_F) (states/eV per atom) = 0.000
- E_form (uncorrected) (eV/atom) = -1.4803

Cell lengths 7.1742, 7.1742, 19.5903 Å; angles 90.00, 90.00, 120.00 degrees
Space group R3 (No. 146, hexagonal axes)
One atom of each set of equivalent atoms:
Rb (0.0000, 0.0000, 0.0000) (multiplicity 3)
Tb (0.0000, 0.0000, 0.4768) (multiplicity 3)
Ag (0.0000, 0.0000, 0.2811) (multiplicity 3)
Ag (0.0000, 0.0000, 0.7991) (multiplicity 3)
Cl (0.0107, 0.3402, 0.2121) (multiplicity 9)
Cl (0.0192, 0.5897, 0.0550) (multiplicity 9)



3.
A plane-wave DFT calculation with GGA-PBE was carried out for an optimized crystal structure of InRhNO2.

## Properties
- D(E_F) (states/eV per atom) = 0.593
- E_form (uncorrected) (eV/atom) = 0.0249

Cell lengths 4.124, 4.124, 3.702 Å; angles 90.00, 90.00, 90.00 degrees
Space group P4/mmm (No. 123)
One atom of each set of equivalent atoms:
In (0.000, 0.000, 0.000) (multiplicity 1)
Rh (0.500, 0.500, 0.500) (multiplicity 1)
N (0.500, 0.500, 0.000) (multiplicity 1)
O (0.000, 0.500, 0.500) (multiplicity 2)



4.
A plane-wave DFT calculation with GGA-PBE was carried out for an optimized crystal structure of NbAl2Ru2.

## Properties
- formation energy (eV/atom) = -0.371
- D(E_F) (states/eV per atom) = 0.605
- energy above the lowest structure with this stoichiometry (eV per formula unit) = 0.10

Cell lengths 7.115, 7.115, 3.012 Å; angles 90.00, 90.00, 90.00 degrees
Space group P4/mbm (No. 127)
One atom of each set of equivalent atoms:
Nb (0.000, 0.000, 0.000) (multiplicity 2)
Al (0.146, 0.354, 0.500) (multiplicity 4)
Ru (0.151, 0.651, 0.000) (multiplicity 4)



5.
A plane-wave DFT calculation with GGA-PBE was carried out for an optimized crystal structure of La2PmPbN.

## Properties
- D(E_F) (states/eV per atom) = 0.507
- E_form (uncorrected) (eV/atom) = -0.9222

Cell lengths 5.111, 5.111, 5.050 Å; angles 90.00, 90.00, 90.00 degrees
Space group P4/mmm (No. 123)
One atom of each set of equivalent atoms:
La (0.000, 0.500, 0.000) (multiplicity 2)
Pm (0.000, 0.000, 0.500) (multiplicity 1)
Pb (0.500, 0.500, 0.500) (multiplicity 1)
N (0.000, 0.000, 0.000) (multiplicity 1)



6.
A plane-wave DFT calculation with GGA-PBE was carried out for an optimized crystal structure of CaPmNiRh.

## Properties
- formation energy (eV/atom) = -0.335
- D(E_F) (states/eV per atom) = 0.892
- energy above the lowest structure with this stoichiometry (eV per formula unit) = 0.31

Cell lengths 6.927, 6.927, 6.927 Å; angles 90.00, 90.00, 90.00 degrees
Space group F-43m (No. 216)
One atom of each set of equivalent atoms:
Ca (0.000, 0.000, 0.000) (multiplicity 4)
Pm (0.000, 0.000, 0.500) (multiplicity 4)
Ni (0.250, 0.250, 0.250) (multiplicity 4)
Rh (0.250, 0.250, 0.750) (multiplicity 4)



7.
A plane-wave DFT calculation with GGA-PBE was carried out for an optimized crystal structure of Rb2NaSeF.

## Properties
- E_form (uncorrected) (eV/atom) = -1.6012

Cell lengths 5.440, 5.440, 4.796 Å; angles 90.00, 90.00, 90.00 degrees
Space group P4/mmm (No. 123)
One atom of each set of equivalent atoms:
Rb (0.000, 0.500, 0.000) (multiplicity 2)
Na (0.000, 0.000, 0.500) (multiplicity 1)
Se (0.500, 0.500, 0.500) (multiplicity 1)
F (0.000, 0.000, 0.000) (multiplicity 1)



8.
A plane-wave DFT calculation with GGA-PBE was carried out for an optimized crystal structure of Er5AlTl2.

## Properties
- formation energy (eV/atom) = -0.247
- D(E_F) (states/eV per atom) = 0.749

Cell lengths 8.053, 8.053, 13.670 Å; angles 90.00, 90.00, 90.00 degrees
Space group I4/mcm (No. 140)
One atom of each set of equivalent atoms:
Er (0.000, 0.000, 0.000) (multiplicity 4)
Er (0.158, 0.342, 0.155) (multiplicity 16)
Al (0.000, 0.000, 0.250) (multiplicity 4)
Tl (0.138, 0.362, 0.500) (multiplicity 8)



| no. | magnetic moment (μB per formula unit) | V (Å³/f.u.) | E_tot (eV/cell) |
| --- | --- | --- | --- |
| 1 | 0.0 | 215 | -52.83 |
| 2 | 0.0 | 291 | -111.55 |
| 3 | 0.0 | 63 | -28.21 |
| 4 | 0.0 | 76 | -75.92 |
| 5 | 0.0 | 132 | -31.25 |
| 6 | 0.0 | 83 | -84.91 |
| 7 | 0.0 | 142 | -16.62 |
| 8 | 0.0 | 222 | -133.05 |